SrGaPS2 | PBE | relaxed

a = 4.965 Å, b = 4.965 Å, c = 4.632 Å
α = 90.00°, β = 90.00°, γ = 90.00°
Element x y z (fractional)
Sr 0.000 0.000 0.000
Ga 0.500 0.500 0.500
P 0.500 0.500 0.000
S 0.000 0.500 0.500
S 0.500 0.000 0.500

Summary:
The uncorrected formation energy is -0.46 eV/atom. Its calculated volume is 22.84 A^3/atom. For the density of states at the Fermi level, the calculation gives 3.3 states/eV per cell. Its space-group type is P4/mmm (123). For the energy above the most stable polymorph in this dataset, the calculation gives 0.000 eV per atom. The spin magnetization is 0.88 μB/f.u.